An optimized crystal structure of CsRbSnTe3. Source: Alexandria, functional PBE.

Values from the calculation:
energy relative to the elements, uncorrected: -0.587 eV/atom
magnetization: 0.0 Bohr magnetons per cell
symmetry: C2/m
crystal system: monoclinic
DFT total energy: -37.5 eV per cell

The structure in POSCAR format:
```
CsRbSnTe3
1.0
7.4597 -1.1037 0.0485
2.5205 7.1072 0.0485
2.8072 1.6887 12.0514
Te Sn Cs Rb
6 2 2 2
Direct
0.7724 0.7724 0.4672
0.7875 0.2772 0.1891
0.7228 0.2125 0.8109
0.2772 0.7875 0.1891
0.2125 0.7228 0.8109
0.2276 0.2276 0.5328
0.9298 0.9298 0.2655
0.0702 0.0702 0.7345
0.3060 0.3060 0.0961
0.6940 0.6940 0.9039
0.7301 0.2699 0.5000
0.2699 0.7301 0.5000
```